Entry 1:
Below is a geometry-optimized Zr2ReBF structure, with properties calculated at the PBE level.

Geometry as POSCAR:
```
Zr2ReBF
1.0
4.764 0.000 0.000
0.000 4.764 0.000
0.000 0.000 3.904
Zr Re B F
2 1 1 1
Direct
0.000 0.500 0.000
0.500 0.000 0.000
0.000 0.000 0.500
0.000 0.000 0.000
0.500 0.500 0.500
```

Properties
- spin magnetization (μB/atom) = 0.000
- space group = P4/mmm (123)
- uncorrected energy (Ry per atom) = -0.5698

***

Entry 2:
Below is a geometry-optimized ZrReBF2 structure, with properties calculated at the PBE level.

Geometry as POSCAR:
```
ZrReBF2
1.0
3.992 0.000 0.000
0.000 3.992 0.000
0.000 0.000 5.053
Zr Re B F
1 1 1 2
Direct
0.000 0.000 0.000
0.500 0.500 0.500
0.000 0.000 0.500
0.000 0.500 0.000
0.500 0.000 0.000
```

Properties
- spin magnetization (μB/atom) = 0.668
- space group = P4/mmm (123)
- uncorrected energy (Ry per atom) = -0.4844